Entry 1:
# CuHgSeBr

An optimized crystal structure of CuHgSeBr (GGA-PBE, Alexandria).

Output
The relative energy among the computed polymorphs is 0 meV/atom. As for the energy: -2.67 eV/atom.

abc: 10.228 4.314 9.971
angles: 90.00 90.00 90.00
Sites, in units of the cell vectors:
Cu 0.104 0.000 0.217
Cu 0.396 0.000 0.217
Cu 0.604 0.000 0.783
Cu 0.896 0.000 0.783
Hg 0.000 0.500 0.500
Hg 0.250 0.500 0.790
Hg 0.500 0.500 0.500
Hg 0.750 0.500 0.210
Se 0.000 0.500 0.244
Se 0.000 0.500 0.756
Se 0.500 0.500 0.244
Se 0.500 0.500 0.756
Br 0.250 0.000 0.021
Br 0.250 0.000 0.433
Br 0.750 0.000 0.567
Br 0.750 0.000 0.979

***

Entry 2:
# CuHgSeBr2

An optimized crystal structure of CuHgSeBr2 (GGA-PBE, Alexandria).

Output
The relative energy among the computed polymorphs is 0 meV/atom. As for the energy: -2.11 eV/atom.

abc: 4.884 4.884 5.284
angles: 90.00 90.00 90.00
Sites, in units of the cell vectors:
Cu 0.000 0.000 0.000
Hg 0.500 0.500 0.500
Se 0.000 0.000 0.500
Br 0.000 0.500 0.000
Br 0.500 0.000 0.000

***

Entry 3:
# CuSi2HgBr

An optimized crystal structure of CuSi2HgBr (GGA-PBE, Alexandria).

Output
As for the energy: -2.40 eV/atom.

abc: 5.076 5.076 4.972
angles: 90.00 90.00 90.00
Sites, in units of the cell vectors:
Cu 0.000 0.000 0.000
Si 0.000 0.500 0.500
Si 0.500 0.000 0.500
Hg 0.000 0.000 0.500
Br 0.500 0.500 0.000

***

Entry 4:
# TiCuHgBr6

An optimized crystal structure of TiCuHgBr6 (GGA-PBE, Alexandria).

Output
As for the energy: -3.19 eV/atom.

abc: 6.636 6.694 7.778
angles: 100.25 100.02 116.21
Sites, in units of the cell vectors:
Ti 0.000 0.000 0.000
Cu 0.680 0.379 0.964
Hg 0.422 0.563 0.495
Br 0.254 0.238 0.820
Br 0.348 0.087 0.230
Br 0.643 0.995 0.787
Br 0.734 0.756 0.166
Br 0.917 0.635 0.777
Br 0.997 0.366 0.185

***

Question: What is the energy in the first record?
Answer: -2.67 eV/atom

***

Question: Which of these has the lowest energy?
Answer: TiCuHgBr6

***

Question: Among the records above, which one has the lowest energy?
Answer: TiCuHgBr6

***

Question: Number 2 is which compound?
Answer: CuHgSeBr2